# ThTa

ThTa after structural relaxation (PBE-GGA, OQMD via LeMat-Bulk).

Structure (extended XYZ):
```
2
Lattice="3.2002 0.0000 0.0000 -1.6001 2.7715 0.0000 0.0000 0.0000 5.4531" Properties=species:S:1:pos:R:3 pbc="T T T"
Th 0.0000 0.0000 0.0000
Ta 0.0000 1.8476 2.7265
```

Results
Formation enthalpy at 0 K = 554.1 meV/atom
Size of the total moment = 0.0 μB per formula unit



# ThTa

ThTa after structural relaxation (PBE-GGA, OQMD via LeMat-Bulk).

Structure (extended XYZ):
```
2
Lattice="0.0000 3.2504 3.2504 3.2504 0.0000 3.2504 3.2504 3.2504 0.0000" Properties=species:S:1:pos:R:3 pbc="T T T"
Th 0.0000 0.0000 0.0000
Ta 1.6252 1.6252 1.6252
```

Results
Formation enthalpy at 0 K = 2334.2 meV/atom
Size of the total moment = 1.1 μB per formula unit



# ThTa

ThTa after structural relaxation (PBE-GGA, OQMD via LeMat-Bulk).

Structure (extended XYZ):
```
2
Lattice="0.0000 3.0340 3.0340 3.0340 0.0000 3.0340 3.0340 3.0340 0.0000" Properties=species:S:1:pos:R:3 pbc="T T T"
Th 0.0000 0.0000 0.0000
Ta 3.0340 3.0340 3.0340
```

Results
Formation enthalpy at 0 K = 1291.9 meV/atom
Size of the total moment = 0.0 μB per formula unit



# TmThTa

TmThTa after structural relaxation (PBE-GGA, OQMD via LeMat-Bulk).

Structure (extended XYZ):
```
3
Lattice="0.0000 3.5388 3.5388 3.5388 0.0000 3.5388 3.5388 3.5388 0.0000" Properties=species:S:1:pos:R:3 pbc="T T T"
Tm 0.0000 0.0000 0.0000
Th 1.7694 1.7694 1.7694
Ta 5.3083 5.3083 5.3083
```

Results
Formation enthalpy at 0 K = 1220.3 meV/atom
Size of the total moment = 1.8 μB per formula unit



# ThUTa

ThUTa after structural relaxation (PBE-GGA, OQMD via LeMat-Bulk).

Structure (extended XYZ):
```
3
Lattice="0.0000 3.3917 3.3917 3.3917 0.0000 3.3917 3.3917 3.3917 0.0000" Properties=species:S:1:pos:R:3 pbc="T T T"
Th 0.0000 0.0000 0.0000
U 5.0875 5.0875 5.0875
Ta 3.3917 3.3917 3.3917
```

Results
Formation enthalpy at 0 K = 1190.5 meV/atom
Size of the total moment = 1.2 μB per formula unit



# YThTa

YThTa after structural relaxation (PBE-GGA, OQMD via LeMat-Bulk).

Structure (extended XYZ):
```
3
Lattice="0.0000 3.5431 3.5431 3.5431 0.0000 3.5431 3.5431 3.5431 0.0000" Properties=species:S:1:pos:R:3 pbc="T T T"
Y 0.0000 0.0000 0.0000
Th 1.7715 1.7715 1.7715
Ta 5.3146 5.3146 5.3146
```

Results
Formation enthalpy at 0 K = 1308.7 meV/atom
Size of the total moment = 1.8 μB per formula unit



- Look up the size of the total moment of the third one.
  0.0 μB per formula unit